# Ba2GaCu2

A relaxed Ba2GaCu2 crystal (PBE-GGA, Alexandria via LeMat-Bulk).

Cell and atoms, written as extended XYZ:
```
5
Lattice="-0.1686 -3.3268 5.3140 -5.1274 -2.9858 -2.0319 -0.4855 -5.7931 0.0589" Properties=species:S:1:pos:R:3 pbc="T T T"
Cu -1.9573 -3.9985 1.1357
Cu -3.8242 -8.1072 2.2052
Ba -1.6511 -6.1381 3.5069
Ba -4.1305 -5.9676 -0.1660
Ga 0.0000 0.0000 0.0000
```

## Properties
The value obtained for the formation energy is -0.1 eV/f.u. The space group is No. 139. The density of states at the Fermi level is 7.2 states/eV per cell.

---

# ScMo2Pb

A relaxed ScMo2Pb crystal (PBE-GGA, Alexandria via LeMat-Bulk).

Cell and atoms, written as extended XYZ:
```
4
Lattice="-3.0405 -0.2044 -0.1296 1.1706 -1.3447 2.4748 -0.7354 7.9729 4.6802" Properties=species:S:1:pos:R:3 pbc="T T T"
Mo -0.0107 0.1155 0.0678
Mo -1.0975 0.9875 2.2069
Pb -0.3588 3.8904 2.2837
Sc -1.5060 5.4168 4.8070
```

## Properties
The value obtained for the formation energy is 1.0 eV/f.u. The space group is No. 35. The density of states at the Fermi level is 3.6 states/eV per cell.

---

# Dy2InPd9

A relaxed Dy2InPd9 crystal (PBE-GGA, Alexandria via LeMat-Bulk).

Cell and atoms, written as extended XYZ:
```
12
Lattice="-3.9737 0.3649 0.9787 0.8577 -1.0573 3.8766 1.7722 11.7537 2.8136" Properties=species:S:1:pos:R:3 pbc="T T T"
Dy 0.5839 3.8728 0.9271
Dy 1.1882 7.8809 1.8866
In 0.0000 0.0000 0.0000
Pd -1.5580 -0.3462 2.4276
Pd -0.9710 3.5469 3.3596
Pd -0.3728 7.5143 4.3093
Pd -1.7013 2.0761 0.9426
Pd -1.1008 6.0593 1.8962
Pd -0.5002 10.0425 2.8497
Pd 0.7143 1.3650 2.3916
Pd 1.3149 5.3482 3.3451
Pd 1.9155 9.3314 4.2986
```

## Properties
The value obtained for the formation energy is -8.8 eV/f.u. The space group is No. 123. The density of states at the Fermi level is 8.8 states/eV per cell.

---

# La2Y4ErSc

A relaxed La2Y4ErSc crystal (PBE-GGA, Alexandria via LeMat-Bulk).

Cell and atoms, written as extended XYZ:
```
8
Lattice="-2.0469 4.6042 -0.6323 -3.9913 -1.3941 2.7690 0.6745 1.8266 11.1166" Properties=species:S:1:pos:R:3 pbc="T T T"
La 0.6745 1.8266 11.1165
La -0.6862 3.2154 5.2421
Y -2.5070 0.3109 10.3788
Y -2.8567 4.7258 2.8745
Y -3.8334 1.7235 4.5666
Y -1.5303 3.3132 8.6867
Er -2.3446 3.4316 12.1849
Sc -1.6584 0.2162 6.9428
```

## Properties
The value obtained for the formation energy is 0.4 eV/f.u. The space group is No. 47. The density of states at the Fermi level is 14.8 states/eV per cell.

---

# CdCoRh2

A relaxed CdCoRh2 crystal (PBE-GGA, Alexandria via LeMat-Bulk).

Cell and atoms, written as extended XYZ:
```
4
Lattice="2.7886 0.0000 0.0000 0.0000 2.7886 0.0000 0.0000 0.0000 7.6020" Properties=species:S:1:pos:R:3 pbc="T T T"
Cd 0.0000 0.0000 3.8719
Co 1.3943 1.3943 5.8843
Rh 0.0000 0.0000 7.4965
Rh 1.3943 1.3943 1.7522
```

## Properties
The value obtained for the formation energy is 0.5 eV/f.u. The space group is No. 99. The density of states at the Fermi level is 5.1 states/eV per cell.

---

# BaLiSbI2

A relaxed BaLiSbI2 crystal (PBE-GGA, Alexandria via LeMat-Bulk).

Cell and atoms, written as extended XYZ:
```
5
Lattice="6.7237 0.0000 0.0000 0.0000 6.7237 0.0000 0.0000 0.0000 6.9288" Properties=species:S:1:pos:R:3 pbc="T T T"
I 0.0000 3.3618 0.0000
I 3.3618 0.0000 0.0000
Sb 0.0000 0.0000 3.4644
Ba 0.0000 0.0000 0.0000
Li 3.3618 3.3618 3.4644
```

## Properties
Its uncorrected formation energy is -0.430 eV per atom. The space group is No. 123. The density of states at the Fermi level is 3.3 states/eV per cell.

---

# TePbSeN2

A relaxed TePbSeN2 crystal (PBE-GGA, Alexandria via LeMat-Bulk).

Cell and atoms, written as extended XYZ:
```
5
Lattice="4.4980 0.0000 0.0000 0.0000 4.4980 0.0000 0.0000 0.0000 6.1625" Properties=species:S:1:pos:R:3 pbc="T T T"
Pb 0.0000 0.0000 0.0000
Te 2.2490 2.2490 3.0813
Se 0.0000 0.0000 3.0813
N 0.0000 2.2490 0.0000
N 2.2490 0.0000 0.0000
```

## Properties
Its uncorrected formation energy is 1.600 eV per atom. The space group is No. 123. The density of states at the Fermi level is 3.2 states/eV per cell.

---

# Ag3PdF8

A relaxed Ag3PdF8 crystal (PBE-GGA, Alexandria via LeMat-Bulk).

Cell and atoms, written as extended XYZ:
```
12
Lattice="6.2003 -0.4383 0.0000 -3.2944 5.2709 0.0000 0.0000 0.0000 6.9378" Properties=species:S:1:pos:R:3 pbc="T T T"
Ag -1.6472 2.6354 1.6882
Ag 1.4529 2.4163 0.0000
Ag 3.1001 -0.2191 5.2495
Pd 1.4529 2.4163 3.4689
F 3.1559 1.3923 3.4689
F 3.3166 1.2957 0.0000
F 2.0762 3.5986 4.8999
F 2.2050 3.5212 2.0379
F 0.7008 1.3114 2.0379
F 0.8297 1.2340 4.8999
F -0.4107 3.5369 0.0000
F -0.2500 3.4403 3.4689
```

## Properties
Its uncorrected formation energy is -1.180 eV per atom. The space group is No. 21. The density of states at the Fermi level is 5.3 states/eV per cell.

---

# RbBaSeI

A relaxed RbBaSeI crystal (PBE-GGA, Alexandria via LeMat-Bulk).

Cell and atoms, written as extended XYZ:
```
4
Lattice="-0.8775 -0.1376 4.7343 -0.7968 -3.9009 -2.7116 9.1151 -1.3065 -0.7990" Properties=species:S:1:pos:R:3 pbc="T T T"
Rb -0.0870 -3.8530 -2.1161
Ba 5.4790 -1.5089 1.4345
Se 7.0017 -3.2517 -0.7844
I 2.2939 -2.1403 3.2760
```

## Properties
Its uncorrected formation energy is -1.646 eV per atom. The space group is No. 160. The density of states at the Fermi level is 0.0 states/eV per cell.

---

# CaTaCl3

A relaxed CaTaCl3 crystal (PBE-GGA, Alexandria via LeMat-Bulk).

Cell and atoms, written as extended XYZ:
```
5
Lattice="5.3074 0.0000 0.0000 0.0000 5.3074 0.0000 0.0000 0.0000 5.3074" Properties=species:S:1:pos:R:3 pbc="T T T"
Ca 0.0000 0.0000 0.0000
Cl 0.0000 2.6537 0.0000
Cl 0.0000 0.0000 2.6537
Cl 2.6537 0.0000 0.0000
Ta 2.6537 2.6537 2.6537
```

## Properties
Its uncorrected formation energy is -0.283 eV per atom. The space group is No. 221. The density of states at the Fermi level is 8.0 states/eV per cell.

---

# MnTlTe

A relaxed MnTlTe crystal (PBE-GGA, Alexandria via LeMat-Bulk).

Cell and atoms, written as extended XYZ:
```
3
Lattice="-0.2699 3.9627 2.8279 -2.3675 -0.2001 4.2576 2.4927 0.1818 4.1864" Properties=species:S:1:pos:R:3 pbc="T T T"
Mn -0.1086 2.9583 8.4539
Te 0.0000 0.0000 0.0000
Tl -0.0724 1.9722 5.6360
```

## Properties
Its uncorrected formation energy is 0.181 eV per atom. The space group is No. 216. The density of states at the Fermi level is 3.4 states/eV per cell.

---

# Sc3CdTc

A relaxed Sc3CdTc crystal (PBE-GGA, Alexandria via LeMat-Bulk).

Cell and atoms, written as extended XYZ:
```
5
Lattice="-2.2835 -0.2438 -4.6180 3.9887 -2.7099 -1.8293 -2.3399 -4.3814 1.3883" Properties=species:S:1:pos:R:3 pbc="T T T"
Sc 1.9944 -1.3549 -0.9147
Sc -1.1700 -2.1907 0.6942
Sc -1.1418 -0.1219 -2.3090
Tc -0.3174 -3.6675 -2.5295
Cd 0.0000 0.0000 0.0000
```

## Properties
The value obtained for the formation energy is 5.7 eV/f.u. The space group is No. 221. The density of states at the Fermi level is 6.7 states/eV per cell.

---

# Rb2LaSi2

A relaxed Rb2LaSi2 crystal (PBE-GGA, Alexandria via LeMat-Bulk).

Cell and atoms, written as extended XYZ:
```
10
Lattice="7.6462 0.0000 0.0000 0.0000 7.6462 0.0000 0.0000 0.0000 6.1426" Properties=species:S:1:pos:R:3 pbc="T T T"
Si 3.0055 6.8286 0.0000
Si 6.8286 4.6407 0.0000
Si 4.6407 0.8176 0.0000
Si 0.8176 3.0055 0.0000
Rb 1.3041 5.1272 3.0713
Rb 5.1272 6.3421 3.0713
Rb 6.3421 2.5190 3.0713
Rb 2.5190 1.3041 3.0713
La 0.0000 0.0000 0.0000
La 3.8231 3.8231 0.0000
```

## Properties
Its uncorrected formation energy is 0.149 eV per atom. The space group is No. 127. The density of states at the Fermi level is 9.6 states/eV per cell.

---

no.,electronic total energy (eV per cell),calculated density (g/cm3),V (A^3/atom)
1,-15.13,5.295,29.574
2,-30.66,9.270,19.884
3,-67.47,11.255,17.184
4,-46.16,5.422,32.372
5,-22.26,10.594,14.779
6,-13.21,2.756,62.647
7,-18.99,5.884,24.936
8,-42.87,4.460,18.060
9,-14.51,4.018,44.283
10,-20.81,3.636,29.900
11,-14.13,7.839,27.320
12,-24.54,4.179,27.437
13,-33.93,3.385,35.912